Entry 1:
RbOsWCl2 | meta-GGA SCAN | single point on PBEsol structure

Structure (CIF):
```
data_RbOsWCl2
_chemical_formula_sum 'Rb1 Os1 W1 Cl2'
_cell_length_a 5.494
_cell_length_b 5.494
_cell_length_c 5.767
_cell_angle_alpha 90.00
_cell_angle_beta 90.00
_cell_angle_gamma 90.00
_symmetry_space_group_name_H-M 'P 4/m m m'
_symmetry_Int_Tables_number 123
_symmetry_space_group_name_Hall '-P 4 2'
loop_
_atom_site_label
_atom_site_type_symbol
_atom_site_fract_x
_atom_site_fract_y
_atom_site_fract_z
Rb1 Rb 0.000 0.000 0.000
Os1 Os 0.500 0.500 0.500
W1 W 0.000 0.000 0.500
Cl1 Cl 0.000 0.500 0.000
```

DOS(E_F) in states/eV per cell: 1.69
Electronic total energy in eV per atom: -33.184
Formation energy (no corrections) in eV per atom: 2.47
ρ in g/cm3: 5.06

Entry 2:
MgTl2In | meta-GGA SCAN | single point on PBEsol structure

Structure (CIF):
```
data_MgTl2In
_chemical_formula_sum 'Mg2 Tl4 In2'
_cell_length_a 4.567
_cell_length_b 4.567
_cell_length_c 9.754
_cell_angle_alpha 90.00
_cell_angle_beta 90.00
_cell_angle_gamma 90.00
_symmetry_space_group_name_H-M 'I -4 m 2'
_symmetry_Int_Tables_number 119
_symmetry_space_group_name_Hall 'I -4 -2'
loop_
_atom_site_label
_atom_site_type_symbol
_atom_site_fract_x
_atom_site_fract_y
_atom_site_fract_z
Mg1 Mg 0.000 0.000 0.000
Tl1 Tl 0.000 0.000 0.500
Tl2 Tl 0.000 0.500 0.250
In1 In 0.000 0.500 0.750
```

DOS(E_F) in states/eV per cell: 3.33
Electronic total energy in eV per atom: -45.772
ρ in g/cm3: 8.95

Entry 3:
MgZn6Cu6 | meta-GGA SCAN | single point on PBEsol structure

Structure (CIF):
```
data_MgZn6Cu6
_chemical_formula_sum 'Mg1 Zn6 Cu6'
_cell_length_a 4.8804
_cell_length_b 4.8804
_cell_length_c 8.3949
_cell_angle_alpha 90.00
_cell_angle_beta 90.00
_cell_angle_gamma 120.00
_symmetry_space_group_name_H-M 'P 6/m m m'
_symmetry_Int_Tables_number 191
_symmetry_space_group_name_Hall '-P 6 2'
loop_
_atom_site_label
_atom_site_type_symbol
_atom_site_fract_x
_atom_site_fract_y
_atom_site_fract_z
Mg1 Mg 0.0000 0.0000 0.0000
Zn1 Zn 0.0000 0.0000 0.3432
Zn2 Zn 0.3333 0.6667 0.0000
Zn3 Zn 0.3333 0.6667 0.5000
Cu1 Cu 0.0000 0.5000 0.2465
```

DOS(E_F) in states/eV per cell: 4.97
Electronic total energy in eV per atom: -13.736
ρ in g/cm3: 7.65

Entry 4:
AlCu3Pt | meta-GGA SCAN | single point on PBEsol structure

Structure (CIF):
```
data_AlCu3Pt
_chemical_formula_sum 'Al1 Cu3 Pt1'
_cell_length_a 4.607
_cell_length_b 4.607
_cell_length_c 4.607
_cell_angle_alpha 90.00
_cell_angle_beta 90.00
_cell_angle_gamma 90.00
_symmetry_space_group_name_H-M 'P m -3 m'
_symmetry_Int_Tables_number 221
_symmetry_space_group_name_Hall '-P 4 2 3'
loop_
_atom_site_label
_atom_site_type_symbol
_atom_site_fract_x
_atom_site_fract_y
_atom_site_fract_z
Al1 Al 0.000 0.000 0.000
Cu1 Cu 0.000 0.500 0.500
Pt1 Pt 0.500 0.500 0.500
```

DOS(E_F) in states/eV per cell: 2.72
Electronic total energy in eV per atom: -23.843
ρ in g/cm3: 7.01

Entry 5:
SiPtPb2 | meta-GGA SCAN | single point on PBEsol structure

Structure (CIF):
```
data_SiPtPb2
_chemical_formula_sum 'Si1 Pt1 Pb2'
_cell_length_a 4.690
_cell_length_b 4.690
_cell_length_c 3.878
_cell_angle_alpha 90.00
_cell_angle_beta 90.00
_cell_angle_gamma 90.00
_symmetry_space_group_name_H-M 'P 4/m m m'
_symmetry_Int_Tables_number 123
_symmetry_space_group_name_Hall '-P 4 2'
loop_
_atom_site_label
_atom_site_type_symbol
_atom_site_fract_x
_atom_site_fract_y
_atom_site_fract_z
Si1 Si 0.000 0.000 0.000
Pt1 Pt 0.500 0.500 0.000
Pb1 Pb 0.000 0.500 0.500
```

DOS(E_F) in states/eV per cell: 1.55
Electronic total energy in eV per atom: -57.505
Formation energy (no corrections) in eV per atom: 0.44
ρ in g/cm3: 12.41

Entry 6:
Ti3Cu2TeP6O24 | meta-GGA SCAN | single point on PBEsol structure

Structure (CIF):
```
data_Ti3Cu2TeP6O24
_chemical_formula_sum 'Ti9 Cu6 Te3 P18 O72'
_cell_length_a 8.6272
_cell_length_b 8.6272
_cell_length_c 21.3194
_cell_angle_alpha 90.00
_cell_angle_beta 90.00
_cell_angle_gamma 120.00
_symmetry_space_group_name_H-M 'R 3'
_symmetry_Int_Tables_number 146
_symmetry_space_group_name_Hall 'R 3'
loop_
_atom_site_label
_atom_site_type_symbol
_atom_site_fract_x
_atom_site_fract_y
_atom_site_fract_z
Ti1 Ti 0.0000 0.0000 0.0000
Ti2 Ti 0.0000 0.0000 0.1346
Ti3 Ti 0.0000 0.0000 0.7577
Cu1 Cu 0.0000 0.0000 0.4933
Cu2 Cu 0.0000 0.0000 0.6216
Te1 Te 0.0000 0.0000 0.3253
P1 P 0.0322 0.3650 0.4153
P2 P 0.1583 0.3882 0.9186
O1 O 0.0153 0.2982 0.5795
O2 O 0.0233 0.1964 0.8041
O3 O 0.0733 0.8486 0.9495
O4 O 0.1608 0.4683 0.0934
O5 O 0.1748 0.4641 0.3631
O6 O 0.1889 0.4738 0.7349
O7 O 0.1998 0.7362 0.8575
O8 O 0.2105 0.1002 0.5630
```

DOS(E_F) in states/eV per cell: 51.62
Electronic total energy in eV per atom: -10.943
Formation energy (no corrections) in eV per atom: -1.84
ρ in g/cm3: 3.51

Entry 7:
LiTc2Se | meta-GGA SCAN | single point on PBEsol structure

Structure (CIF):
```
data_LiTc2Se
_chemical_formula_sum 'Li1 Tc2 Se1'
_cell_length_a 3.213
_cell_length_b 3.971
_cell_length_c 4.429
_cell_angle_alpha 90.00
_cell_angle_beta 90.00
_cell_angle_gamma 90.00
_symmetry_space_group_name_H-M 'P m m m'
_symmetry_Int_Tables_number 47
_symmetry_space_group_name_Hall '-P 2 2'
loop_
_atom_site_label
_atom_site_type_symbol
_atom_site_fract_x
_atom_site_fract_y
_atom_site_fract_z
Li1 Li 0.000 0.000 0.000
Tc1 Tc 0.000 0.500 0.500
Tc2 Tc 0.500 0.000 0.500
Se1 Se 0.500 0.500 0.000
```

DOS(E_F) in states/eV per cell: 2.74
Electronic total energy in eV per atom: -22.888
Formation energy (no corrections) in eV per atom: 0.26
ρ in g/cm3: 8.28

Entry 8:
Y2PRh | meta-GGA SCAN | single point on PBEsol structure

Structure (CIF):
```
data_Y2PRh
_chemical_formula_sum 'Y4 P2 Rh2'
_cell_length_a 4.091
_cell_length_b 3.799
_cell_length_c 10.402
_cell_angle_alpha 90.00
_cell_angle_beta 90.00
_cell_angle_gamma 90.00
_symmetry_space_group_name_H-M 'A m m 2'
_symmetry_Int_Tables_number 38
_symmetry_space_group_name_Hall 'A 2 -2'
loop_
_atom_site_label
_atom_site_type_symbol
_atom_site_fract_x
_atom_site_fract_y
_atom_site_fract_z
Y1 Y 0.000 0.000 0.000
Y2 Y 0.500 0.000 0.279
P1 P 0.500 0.000 0.562
Rh1 Rh 0.000 0.000 0.718
```

DOS(E_F) in states/eV per cell: 3.08
Electronic total energy in eV per atom: -26.279
ρ in g/cm3: 6.40